VASP calculation (PBE) on a geometry-optimized K2Cd4SbAu3 structure.

Cell: 4.7155 4.7155 12.2731 Å, 90.00 90.00 90.00°
Space group P-4m2 (No. 115)
Asymmetric unit:
K 0.0000 0.5000 0.2453 x2
Cd 0.0000 0.0000 0.0000 x1
Cd 0.0000 0.5000 0.6428 x2
Cd 0.5000 0.5000 0.0000 x1
Sb 0.0000 0.0000 0.5000 x1
Au 0.0000 0.5000 0.8656 x2
Au 0.5000 0.5000 0.5000 x1

Calculated values
The density of states at the Fermi level comes out at 4.0 states/eV/cell. The uncorrected formation energy is -0.224 eV per atom. The total energy is -2.205 eV per atom.